Model P:
Below is a relaxed KYTa2 crystal, with properties calculated at the PBE-GGA level.

```
KYTa2
1.0
4.135 0.000 0.000
0.000 4.135 0.000
0.000 0.000 5.481
K Y Ta
1 1 2
direct
0.000 0.000 0.000 K
0.500 0.500 0.000 Y
0.000 0.500 0.500 Ta
0.500 0.000 0.500 Ta
```

- magnetization (μB per cell) = 0.0
- space-group type = P4/mmm, No. 123

Model Q:
Below is a relaxed KYTa2 crystal, with properties calculated at the PBE-GGA level.

```
KYTa2
1.0
5.508 -1.528 0.000
5.508 1.528 0.000
-0.377 0.000 7.433
K Y Ta
1 1 2
direct
0.000 0.000 0.000 K
0.500 0.500 0.500 Y
0.240 0.240 0.645 Ta
0.760 0.760 0.355 Ta
```

- magnetization (μB per cell) = 0.0
- space-group type = C2/m, No. 12

Model R:
Below is a relaxed KYTa2 crystal, with properties calculated at the PBE-GGA level.

```
KYTa2
1.0
3.491 0.000 0.000
0.000 3.491 0.000
-0.016 0.000 9.889
K Y Ta
1 1 2
direct
0.000 0.000 0.000 K
0.495 0.500 0.377 Y
0.497 0.500 0.697 Ta
0.996 0.000 0.576 Ta
```

- magnetization (μB per cell) = 0.0
- space-group type = Pm, No. 6

How far above the most stable structure does each one sit? In eV/atom: model P 0.715; model Q 0.410; model R 0.000.

Model P:
Below is a relaxed KYTa2 crystal, with properties calculated at the PBE-GGA level.

```
KYTa2
1.0
1.738 -2.395 0.000
1.738 2.395 0.000
0.000 0.000 11.862
K Y Ta
1 1 2
direct
0.000 0.000 0.000 K
0.000 0.000 0.500 Y
0.500 0.500 0.279 Ta
0.500 0.500 0.721 Ta
```

- magnetization (μB per cell) = 0.0
- space-group type = Cmmm, No. 65

Model Q:
Below is a relaxed KYTa2 crystal, with properties calculated at the PBE-GGA level.

```
KYTa2
1.0
0.000 3.670 3.670
3.670 0.000 3.670
3.670 3.670 0.000
K Y Ta
1 1 2
direct
0.000 0.000 0.000 K
0.500 0.500 0.500 Y
0.250 0.250 0.250 Ta
0.750 0.750 0.750 Ta
```

- magnetization (μB per cell) = 0.0
- space-group type = Fm-3m, No. 225

Model R:
Below is a relaxed KYTa2 crystal, with properties calculated at the PBE-GGA level.

```
KYTa2
1.0
1.643 0.948 11.540
-1.643 0.948 11.540
0.000 -1.897 11.540
K Y Ta
1 1 2
direct
0.000 0.000 0.000 K
0.776 0.776 0.776 Y
0.241 0.241 0.241 Ta
0.517 0.517 0.517 Ta
```

- magnetization (μB per cell) = 0.6
- space-group type = R3m, No. 160

How far above the most stable structure does each one sit? In eV/atom: model P 0.207; model Q 1.010; model R 0.000.

Model P:
Below is a relaxed KY3Ta crystal, with properties calculated at the PBE-GGA level.

```
KY3Ta
1.0
5.705 0.000 0.000
0.000 5.705 0.000
0.000 0.000 5.705
K Y Ta
1 3 1
direct
0.000 0.000 0.000 K
0.000 0.500 0.500 Y
0.500 0.000 0.500 Y
0.500 0.500 0.000 Y
0.500 0.500 0.500 Ta
```

- magnetization (μB per cell) = 0.0
- space-group type = Pm-3m, No. 221

Model Q:
Below is a relaxed KY3Ta crystal, with properties calculated at the PBE-GGA level.

```
KY3Ta
1.0
5.213 0.000 0.000
0.000 5.213 0.000
0.000 0.000 5.213
K Y Ta
1 3 1
direct
0.000 0.000 0.000 K
0.000 0.000 0.500 Y
0.000 0.500 0.000 Y
0.500 0.000 0.000 Y
0.500 0.500 0.500 Ta
```

- magnetization (μB per cell) = 0.0
- space-group type = Pm-3m, No. 221

How far above the most stable structure does each one sit? In eV/atom: model P 0.000; model Q 1.089.